First-principles (PBE with a Hubbard U) data for crystalline AcCr2SbO8 at its relaxed geometry, as listed in Alexandria via LeMat-Bulk.

Properties
* magnetization: 4.00 μB/f.u.
* DFT total energy: -7.091 eV/atom

Cell lengths 5.047, 5.059, 7.510 Å; angles 87.91, 87.85, 70.44 degrees
Space group P-1 (No. 2)
Unique sites:
Ac (0.000, 0.000, 0.000) x1
Cr (0.377, 0.377, 0.282) x2
Sb (0.000, 0.000, 0.500) x1
O (0.219, 0.760, 0.296) x2
O (0.238, 0.237, 0.473) x2
O (0.239, 0.780, 0.704) x2
O (0.300, 0.298, 0.072) x2